[1]
Compound: Ac6Au3O14
Source: the Alexandria database
Functional: GGA-PBE
Structure: relaxed

Values from the calculation:
Calculated total energy (eV for the cell shown): -151.6
ρ (Mg/m³): 9.0

Cell: 8.967 8.967 5.762 Å, 90.00 90.00 120.00°
Sites, in units of the cell vectors:
Ac1 0.043 0.448 0.000
Ac2 0.288 0.225 0.521
Ac3 0.406 0.957 0.000
Ac4 0.552 0.594 0.000
Ac5 0.775 0.063 0.521
Ac6 0.937 0.712 0.521
Au1 0.000 0.000 0.048
Au2 0.333 0.667 0.532
Au3 0.667 0.333 0.754
O1 0.000 0.000 0.690
O2 0.055 0.226 0.273
O3 0.171 0.945 0.273
O4 0.176 0.737 0.772
O5 0.263 0.439 0.772
O6 0.333 0.667 0.180
O7 0.445 0.263 0.945
O8 0.510 0.114 0.564
O9 0.561 0.824 0.772
O10 0.604 0.490 0.564
O11 0.737 0.182 0.945
O12 0.774 0.829 0.273
O13 0.818 0.555 0.945
O14 0.886 0.396 0.564



[2]
Compound: Ac3Au2O9
Source: the Alexandria database
Functional: GGA-PBE
Structure: relaxed

Values from the calculation:
Calculated total energy (eV for the cell shown): -174.2
ρ (Mg/m³): 10.3

Cell: 7.340 7.340 7.340 Å, 85.67 85.67 85.67°
Sites, in units of the cell vectors:
Ac1 0.094 0.750 0.406
Ac2 0.250 0.594 0.906
Ac3 0.406 0.094 0.750
Ac4 0.594 0.906 0.250
Ac5 0.750 0.406 0.094
Ac6 0.906 0.250 0.594
Au1 0.149 0.149 0.149
Au2 0.351 0.351 0.351
Au3 0.649 0.649 0.649
Au4 0.851 0.851 0.851
O1 0.083 0.417 0.250
O2 0.084 0.276 0.902
O3 0.098 0.916 0.724
O4 0.224 0.416 0.598
O5 0.250 0.083 0.417
O6 0.276 0.902 0.084
O7 0.402 0.776 0.584
O8 0.416 0.598 0.224
O9 0.417 0.250 0.083
O10 0.583 0.750 0.917
O11 0.584 0.402 0.776
O12 0.598 0.224 0.416
O13 0.724 0.098 0.916
O14 0.750 0.917 0.583
O15 0.776 0.584 0.402
O16 0.902 0.084 0.276
O17 0.916 0.724 0.098
O18 0.917 0.583 0.750